First-principles (GGA-PBE) data for La3SnC after structural relaxation, as listed in Alexandria.

```
La3SnC
1.0
3.812 2.201 7.568
-3.812 2.201 7.568
0.000 -4.401 7.568
La Sn C
6 2 2
Direct
0.052 0.750 0.448
0.250 0.552 0.948
0.448 0.052 0.750
0.552 0.948 0.250
0.750 0.448 0.052
0.948 0.250 0.552
0.000 0.000 0.000
0.500 0.500 0.500
0.250 0.250 0.250
0.750 0.750 0.750
```

## Properties
total energy: -56.26 eV for the cell shown
size of the total moment: 1.80 μB per cell
DOS(E_F): 2.28 states/eV/f.u.


First-principles (GGA-PBE) data for Sm2Dy4Ge3H2 after structural relaxation, as listed in Alexandria.

```
Sm2Dy4Ge3H2
1.0
-2.281 2.281 11.816
2.281 -2.281 11.816
2.281 2.281 -11.816
Sm Dy Ge H
2 4 3 2
Direct
0.201 0.201 0.000
0.799 0.799 0.000
0.080 0.580 0.500
0.420 0.920 0.500
0.580 0.080 0.500
0.920 0.420 0.500
0.330 0.330 0.000
0.500 0.500 0.000
0.670 0.670 0.000
0.098 0.098 0.000
0.902 0.902 0.000
```

## Properties
total energy: -55.12 eV for the cell shown
size of the total moment: 0.00 μB per cell
DOS(E_F): 10.34 states/eV/f.u.


First-principles (GGA-PBE) data for CuNiTeN2 after structural relaxation, as listed in Alexandria.

```
CuNiTeN2
1.0
3.675 0.000 0.000
0.000 3.675 0.000
0.000 0.000 5.592
Cu Ni Te N
1 1 1 2
Direct
0.000 0.000 0.000
0.500 0.500 0.500
0.500 0.500 0.000
0.000 0.500 0.500
0.500 0.000 0.500
```

## Properties
total energy: -23.61 eV for the cell shown
uncorrected formation energy: 6.1 eV per formula unit
size of the total moment: 1.76 μB per cell
E above lowest polymorph: 0.000 eV/atom
DOS(E_F): 4.20 states/eV/f.u.


Please write out number 1 again, unchanged.
First-principles (GGA-PBE) data for La3SnC after structural relaxation, as listed in Alexandria.

```
La3SnC
1.0
3.812 2.201 7.568
-3.812 2.201 7.568
0.000 -4.401 7.568
La Sn C
6 2 2
Direct
0.052 0.750 0.448
0.250 0.552 0.948
0.448 0.052 0.750
0.552 0.948 0.250
0.750 0.448 0.052
0.948 0.250 0.552
0.000 0.000 0.000
0.500 0.500 0.500
0.250 0.250 0.250
0.750 0.750 0.750
```

## Properties
total energy: -56.26 eV for the cell shown
size of the total moment: 1.80 μB per cell
DOS(E_F): 2.28 states/eV/f.u.